Crystalline InH2I5 at its relaxed geometry, computed with PBE-GGA.

As for the electronic total energy: -2.333 eV/atom. For the volume, the calculation gives 413 Å³/cell.

The structure belongs to space group P1 (No. 1); the cell edges are 7.816, 7.816 and 8.736 Å and the angles 116.56°, 116.55° and 90.01°. The asymmetric unit holds In at (0.000, 0.000, 0.000), H at (0.058, 0.558, 0.115), H at (0.558, 0.057, 0.115), I at (0.231, 0.744, 0.127), I at (0.382, 0.231, 0.126), I at (0.744, 0.896, 0.128), I at (0.799, 0.800, 0.600) and I at (0.896, 0.383, 0.127).


Crystalline In2H2I3 at its relaxed geometry, computed with PBE-GGA.

For the density of states at the Fermi level, the calculation gives 1.1 states/eV per cell. As for the electronic total energy: -2.549 eV/atom. For the volume, the calculation gives 228 Å³/cell.

The structure belongs to space group P-1 (No. 2); the cell edges are 3.956, 6.788 and 9.350 Å and the angles 72.74°, 77.90° and 73.34°. The asymmetric unit holds In at (0.032, 0.252, 0.185), H at (0.461, 0.764, 0.813), I at (0.000, 0.000, 0.500) and I at (0.180, 0.281, 0.854).


Crystalline In2HI2 at its relaxed geometry, computed with PBE-GGA.

For the density of states at the Fermi level, the calculation gives 0.0 states/eV per cell. As for the electronic total energy: -2.270 eV/atom. The value obtained for the distance to the lowest polymorph of the same formula is 0.362 eV per atom. For the volume, the calculation gives 374 Å³/cell.

The structure belongs to space group P4/mbm (No. 127); the cell edges are 9.121, 9.121 and 4.498 Å and the angles 90.00°, 90.00° and 90.00°. The asymmetric unit holds In at (0.134, 0.366, 0.000), H at (0.000, 0.000, 0.500) and I at (0.174, 0.674, 0.500).